The following is a PBE calculation of Pu3As after structural relaxation, from the Alexandria database.

```
data_Pu3As
_cell_length_a 4.338
_cell_length_b 4.338
_cell_length_c 8.950
_cell_angle_alpha 90.00
_cell_angle_beta 90.00
_cell_angle_gamma 90.00
_symmetry_space_group_name_H-M 'I 4/m m m'
_symmetry_Int_Tables_number 139
_symmetry_space_group_name_Hall '-I 4 2'
loop_
_atom_site_label
_atom_site_fract_x
_atom_site_fract_y
_atom_site_fract_z
Pu1 0.000 0.000 0.000
Pu2 0.000 0.500 0.250
As1 0.000 0.000 0.500
```

Properties
E above lowest polymorph ... 0.000 eV/atom
Calculated volume ... 21.1 Å³ per atom
VASP energy ... -12.3021 eV/atom


The following is a PBE calculation of La2ZrTlC after structural relaxation, from the Alexandria database.

```
data_La2ZrTlC
_cell_length_a 5.269
_cell_length_b 5.269
_cell_length_c 4.635
_cell_angle_alpha 90.00
_cell_angle_beta 90.00
_cell_angle_gamma 90.00
_symmetry_space_group_name_H-M 'P 4/m m m'
_symmetry_Int_Tables_number 123
_symmetry_space_group_name_Hall '-P 4 2'
loop_
_atom_site_label
_atom_site_fract_x
_atom_site_fract_y
_atom_site_fract_z
La1 0.000 0.500 0.000
Zr1 0.000 0.000 0.500
Tl1 0.500 0.500 0.500
C1 0.000 0.000 0.000
```

Properties
Calculated volume ... 25.7 Å³ per atom
VASP energy ... -6.2414 eV/atom


| no. | formation energy from the elements (eV per atom) |
| --- | --- |
| 1 | -0.391 |
| 2 | -0.243 |